# NdErSb

Crystalline NdErSb at its relaxed geometry (PBE, Alexandria).

The structure in CIF format:
```
data_NdErSb
_chemical_formula_sum 'Nd8 Er8 Sb8'
_symmetry_space_group_name_H-M 'C 1 2/m 1'
_symmetry_Int_Tables_number 12
_cell_length_a 16.439
_cell_length_b 4.266
_cell_length_c 10.929
_cell_angle_alpha 90.00
_cell_angle_beta 90.82
_cell_angle_gamma 90.00
loop_
_symmetry_equiv_pos_as_xyz
'x,y,z'
'-x,-y,-z'
'-x,y,-z'
'x,-y,z'
'x+1/2,y+1/2,z'
'-x+1/2,-y+1/2,-z'
'-x+1/2,y+1/2,-z'
'x+1/2,-y+1/2,z'
loop_
_atom_site_label
_atom_site_type_symbol
_atom_site_fract_x
_atom_site_fract_y
_atom_site_fract_z
Nd1 Nd 0.034 0.000 0.362
Nd2 Nd 0.099 0.500 0.858
Er1 Er 0.195 0.000 0.083
Er2 Er 0.243 0.000 0.661
Sb1 Sb 0.088 0.500 0.172
Sb2 Sb 0.121 0.500 0.555
```

# Nd2ErSb2

Crystalline Nd2ErSb2 at its relaxed geometry (PBE, Alexandria).

The structure in CIF format:
```
data_Nd2ErSb2
_chemical_formula_sum 'Nd8 Er4 Sb8'
_symmetry_space_group_name_H-M 'I b a m'
_symmetry_Int_Tables_number 72
_symmetry_space_group_name_Hall '-I 2 2c'
_cell_length_a 8.524
_cell_length_b 11.982
_cell_length_c 6.379
_cell_angle_alpha 90.00
_cell_angle_beta 90.00
_cell_angle_gamma 90.00
loop_
_atom_site_label
_atom_site_type_symbol
_atom_site_fract_x
_atom_site_fract_y
_atom_site_fract_z
Nd1 Nd 0.144 0.151 0.000
Er1 Er 0.000 0.500 0.250
Sb1 Sb 0.224 0.107 0.500
```

# NdEr5Sb4

Crystalline NdEr5Sb4 at its relaxed geometry (PBE, Alexandria).

The structure in CIF format:
```
data_NdEr5Sb4
_chemical_formula_sum 'Nd2 Er10 Sb8'
_symmetry_space_group_name_H-M 'C 1 2/m 1'
_symmetry_Int_Tables_number 12
_cell_length_a 18.674
_cell_length_b 4.320
_cell_length_c 8.437
_cell_angle_alpha 90.00
_cell_angle_beta 106.69
_cell_angle_gamma 90.00
loop_
_symmetry_equiv_pos_as_xyz
'x,y,z'
'-x,-y,-z'
'-x,y,-z'
'x,-y,z'
'x+1/2,y+1/2,z'
'-x+1/2,-y+1/2,-z'
'-x+1/2,y+1/2,-z'
'x+1/2,-y+1/2,z'
loop_
_atom_site_label
_atom_site_type_symbol
_atom_site_fract_x
_atom_site_fract_y
_atom_site_fract_z
Nd1 Nd 0.000 0.000 0.000
Er1 Er 0.000 0.000 0.500
Er2 Er 0.160 0.500 0.823
Er3 Er 0.180 0.500 0.349
Sb1 Sb 0.011 0.500 0.268
Sb2 Sb 0.173 0.000 0.090
```

# Nd5Er3Sb8

Crystalline Nd5Er3Sb8 at its relaxed geometry (PBE, Alexandria).

The structure in CIF format:
```
data_Nd5Er3Sb8
_chemical_formula_sum 'Nd15 Er9 Sb24'
_symmetry_space_group_name_H-M 'R -3 m'
_symmetry_Int_Tables_number 166
_symmetry_space_group_name_Hall '-R 3 2"'
_cell_length_a 8.9282
_cell_length_b 8.9282
_cell_length_c 21.8433
_cell_angle_alpha 90.00
_cell_angle_beta 90.00
_cell_angle_gamma 120.00
loop_
_atom_site_label
_atom_site_type_symbol
_atom_site_fract_x
_atom_site_fract_y
_atom_site_fract_z
Nd1 Nd 0.0000 0.0000 0.0000
Nd2 Nd 0.0000 0.0000 0.5000
Nd3 Nd 0.0000 0.5000 0.0000
Er1 Er 0.0000 0.5000 0.5000
Sb1 Sb 0.0000 0.0000 0.2463
Sb2 Sb 0.0050 0.5025 0.7525
```

# NdEr3Sb

Crystalline NdEr3Sb at its relaxed geometry (PBE, Alexandria).

The structure in CIF format:
```
data_NdEr3Sb
_chemical_formula_sum 'Nd4 Er12 Sb4'
_symmetry_space_group_name_H-M 'P n m a'
_symmetry_Int_Tables_number 62
_cell_length_a 10.714
_cell_length_b 4.009
_cell_length_c 14.341
_cell_angle_alpha 90.00
_cell_angle_beta 90.00
_cell_angle_gamma 90.00
loop_
_symmetry_equiv_pos_as_xyz
'x,y,z'
'-x,-y,-z'
'-x+1/2,-y,z+1/2'
'x+1/2,y,-z+1/2'
'x+1/2,-y+1/2,-z+1/2'
'-x+1/2,y+1/2,z+1/2'
'-x,y+1/2,-z'
'x,-y+1/2,z'
loop_
_atom_site_label
_atom_site_type_symbol
_atom_site_fract_x
_atom_site_fract_y
_atom_site_fract_z
Nd1 Nd 0.172 0.250 0.025
Er1 Er 0.081 0.250 0.422
Er2 Er 0.110 0.750 0.227
Er3 Er 0.142 0.750 0.811
Sb1 Sb 0.129 0.250 0.638
```

# Nd3ErSb2

Crystalline Nd3ErSb2 at its relaxed geometry (PBE, Alexandria).

The structure in CIF format:
```
data_Nd3ErSb2
_chemical_formula_sum 'Nd12 Er4 Sb8'
_symmetry_space_group_name_H-M 'I b a m'
_symmetry_Int_Tables_number 72
_symmetry_space_group_name_Hall '-I 2 2c'
_cell_length_a 7.214
_cell_length_b 14.508
_cell_length_c 7.957
_cell_angle_alpha 90.00
_cell_angle_beta 90.00
_cell_angle_gamma 90.00
loop_
_atom_site_label
_atom_site_type_symbol
_atom_site_fract_x
_atom_site_fract_y
_atom_site_fract_z
Nd1 Nd 0.000 0.000 0.250
Nd2 Nd 0.000 0.290 0.250
Er1 Er 0.000 0.500 0.000
Sb1 Sb 0.183 0.144 0.000
```

# NdEr2Sb2

Crystalline NdEr2Sb2 at its relaxed geometry (PBE, Alexandria).

The structure in CIF format:
```
data_NdEr2Sb2
_chemical_formula_sum 'Nd2 Er4 Sb4'
_symmetry_space_group_name_H-M 'C 1 2/m 1'
_symmetry_Int_Tables_number 12
_cell_length_a 6.356
_cell_length_b 6.388
_cell_length_c 7.863
_cell_angle_alpha 90.00
_cell_angle_beta 113.69
_cell_angle_gamma 90.00
loop_
_symmetry_equiv_pos_as_xyz
'x,y,z'
'-x,-y,-z'
'-x,y,-z'
'x,-y,z'
'x+1/2,y+1/2,z'
'-x+1/2,-y+1/2,-z'
'-x+1/2,y+1/2,-z'
'x+1/2,-y+1/2,z'
loop_
_atom_site_label
_atom_site_type_symbol
_atom_site_fract_x
_atom_site_fract_y
_atom_site_fract_z
Nd1 Nd 0.000 0.000 0.000
Er1 Er 0.000 0.251 0.500
Sb1 Sb 0.106 0.500 0.210
```

# NdEr3Sb4

Crystalline NdEr3Sb4 at its relaxed geometry (PBE, Alexandria).

The structure in CIF format:
```
data_NdEr3Sb4
_chemical_formula_sum 'Nd1 Er3 Sb4'
_symmetry_space_group_name_H-M 'P m -3 m'
_symmetry_Int_Tables_number 221
_symmetry_space_group_name_Hall '-P 4 2 3'
_cell_length_a 6.216
_cell_length_b 6.216
_cell_length_c 6.216
_cell_angle_alpha 90.00
_cell_angle_beta 90.00
_cell_angle_gamma 90.00
loop_
_atom_site_label
_atom_site_type_symbol
_atom_site_fract_x
_atom_site_fract_y
_atom_site_fract_z
Nd1 Nd 0.000 0.000 0.000
Er1 Er 0.000 0.500 0.500
Sb1 Sb 0.000 0.000 0.500
Sb2 Sb 0.500 0.500 0.500
```

no.,calculated total energy (eV/atom),raw formation energy (kJ per mole of atoms)
1,-5.0920,-58.63
2,-5.3119,-81.36
3,-5.0947,-66.34
4,-5.5527,-110.57
5,-4.9082,-37.87
6,-5.1290,-58.90
7,-5.1025,-65.11
8,-5.4756,-106.84